(i)
This record from Alexandria via LeMat-Bulk describes an optimized crystal structure of PmNbAs2. The functional is GGA-PBE.

Lattice parameters (Å, degrees): 3.9457 3.9457 25.7308 90.00 90.00 120.00
Space group R-3m (No. 166, hexagonal axes)
Symmetry-distinct sites (fractional):
1 Pm 0.0000 0.0000 0.0000 (multiplicity 3)
2 Nb 0.0000 0.0000 0.5000 (multiplicity 3)
3 As 0.0000 0.0000 0.4047 (multiplicity 6)

Density of states at the Fermi level in states/eV/f.u.: 3.21

***

(ii)
This record from Alexandria via LeMat-Bulk describes an optimized crystal structure of PmNbAs2. The functional is GGA-PBE.

Lattice parameters (Å, degrees): 3.3536 3.3536 7.1083 90.00 90.00 90.00
Space group P4/mmm (No. 123)
Symmetry-distinct sites (fractional):
1 Pm 0.0000 0.0000 0.0000 (multiplicity 1)
2 Nb 0.0000 0.0000 0.5000 (multiplicity 1)
3 As 0.5000 0.5000 0.2901 (multiplicity 2)

Density of states at the Fermi level in states/eV/f.u.: 2.66

***

Here is how they stack up, most stable first: (ii), (i).

***

(i)
This record from Alexandria via LeMat-Bulk describes an optimized crystal structure of NbAsPt3. The functional is GGA-PBE.

Lattice parameters (Å, degrees): 4.6414 4.6414 4.6414 90.00 90.00 90.00
Space group Pm-3m (No. 221)
Symmetry-distinct sites (fractional):
1 Nb 0.0000 0.0000 0.0000 (multiplicity 1)
2 As 0.5000 0.5000 0.5000 (multiplicity 1)
3 Pt 0.0000 0.5000 0.5000 (multiplicity 3)

Density of states at the Fermi level in states/eV/f.u.: 5.13

***

(ii)
This record from Alexandria via LeMat-Bulk describes an optimized crystal structure of NbAsPt3. The functional is GGA-PBE.

Lattice parameters (Å, degrees): 4.8726 4.8726 4.8726 90.00 90.00 90.00
Space group Pm-3m (No. 221)
Symmetry-distinct sites (fractional):
1 Nb 0.0000 0.0000 0.0000 (multiplicity 1)
2 As 0.5000 0.5000 0.5000 (multiplicity 1)
3 Pt 0.0000 0.0000 0.5000 (multiplicity 3)

Density of states at the Fermi level in states/eV/f.u.: 4.87

***

Here is how they stack up, most stable first: (i), (ii).